Computed, not measured: a relaxed CaNiSe2 crystal at the GGA-PBE level of DFT.

Its total DFT energy (no corrections) is -4.63 eV per atom. For the magnetic moment, the calculation gives 0.0 μB/cell.

The space group is C2/m (No. 12) and the conventional cell measures 12.094, 3.966 and 7.620 Å, with angles of 90.00, 103.43 and 90.00 degrees. Symmetry generates all atoms from Ca at (0.000, 0.000, 0.000), Ca at (0.000, 0.000, 0.500), Ni at (0.236, 0.500, 0.109), Se at (0.094, 0.500, 0.281) and Se at (0.166, 0.500, 0.793).